[1]
## Pu5Ge4Pb (GGA-PBE)

Data for a relaxed structure of Pu5Ge4Pb.

The calculation puts the density at 12.5 g/cm3. Its crystal system is tetragonal. The total magnetic moment is 26.71 μB/f.u. The formation energy comes out at -0.37 eV per atom.

The space group is P4/mmm (No. 123) and the conventional cell measures 3.8953, 3.8953 and 15.0618 Å, with angles of 90.00, 90.00 and 90.00 degrees. The inequivalent atoms are Pu at (0.0000, 0.0000, 0.0000), Pu at (0.0000, 0.0000, 0.1889), Pu at (0.0000, 0.0000, 0.3777), Ge at (0.5000, 0.5000, 0.0964), Ge at (0.5000, 0.5000, 0.2845) and Pb at (0.5000, 0.5000, 0.5000).

---

[2]
## Y8Cu2Au (GGA-PBE)

Data for a relaxed structure of Y8Cu2Au.

The calculation puts the density at 5.6 g/cm3. Its crystal system is monoclinic. The total magnetic moment is 0.00 μB/f.u. The formation energy comes out at -0.11 eV per atom.

The space group is Cm (No. 8) and the conventional cell measures 8.4997, 13.2329 and 5.7459 Å, with angles of 90.00, 108.15 and 90.00 degrees. The inequivalent atoms are Y at (0.0000, 0.0000, 0.0000), Y at (0.0839, 0.3723, 0.7867), Y at (0.1564, 0.1277, 0.5752), Y at (0.2473, 0.5000, 0.3776), Y at (0.3697, 0.2203, 0.1862), Cu at (0.3737, 0.3046, 0.6920) and Au at (0.3731, 0.0000, 0.3252).

---

[3]
## YBiSe3 (GGA-PBE)

Data for a relaxed structure of YBiSe3.

The calculation puts the density at 5.6 g/cm3. Its crystal system is monoclinic. As for the energy relative to the elements, uncorrected: -25.92 kcal/mol of atoms. The total magnetic moment is 0.00 μB/f.u. As for the energy above the most stable polymorph in this dataset: 0.0 kJ per mole of atoms.

The space group is P2_1/m (No. 11) and the conventional cell measures 7.2150, 4.1567 and 10.7400 Å, with angles of 90.00, 102.28 and 90.00 degrees. The inequivalent atoms are Y at (0.2341, 0.2500, 0.4796), Bi at (0.3610, 0.2500, 0.8497), Se at (0.0174, 0.7500, 0.3409), Se at (0.2518, 0.7500, 0.9994) and Se at (0.4494, 0.7500, 0.6438).

---

[4]
## TcSBrN2 (GGA-PBE)

Data for a relaxed structure of TcSBrN2.

The calculation puts the density at 5.1 g/cm3. Its crystal system is tetragonal. As for the energy relative to the elements, uncorrected: 17.06 kcal/mol of atoms. The total magnetic moment is 0.00 μB/f.u. As for the energy above the most stable polymorph in this dataset: 0.0 kJ per mole of atoms.

The space group is P4/mmm (No. 123) and the conventional cell measures 3.8279, 3.8279 and 5.3335 Å, with angles of 90.00, 90.00 and 90.00 degrees. The inequivalent atoms are Tc at (0.0000, 0.0000, 0.0000), S at (0.0000, 0.0000, 0.5000), Br at (0.5000, 0.5000, 0.5000) and N at (0.0000, 0.5000, 0.0000).

---

[5]
## Er5BiPt2 (GGA-PBE)

Data for a relaxed structure of Er5BiPt2.

The calculation puts the density at 11.6 g/cm3. Its crystal system is tetragonal. The total magnetic moment is 0.00 μB/f.u. The formation energy comes out at -0.94 eV per atom.

The space group is I4/mcm (No. 140) and the conventional cell measures 7.7461, 7.7461 and 13.7062 Å, with angles of 90.00, 90.00 and 90.00 degrees. The inequivalent atoms are Er at (0.0000, 0.0000, 0.0000), Er at (0.1559, 0.3441, 0.1361), Bi at (0.0000, 0.0000, 0.2500) and Pt at (0.1395, 0.3605, 0.5000).

---

[6]
## K2SiAu (GGA-PBE)

Data for a relaxed structure of K2SiAu.

The calculation puts the density at 3.9 g/cm3. Its crystal system is orthorhombic. As for the energy relative to the elements, uncorrected: -3.10 kcal/mol of atoms. The total magnetic moment is 0.00 μB/f.u.

The space group is Cmcm (No. 63) and the conventional cell measures 10.2273, 7.2871 and 6.9240 Å, with angles of 90.00, 90.00 and 90.00 degrees. The inequivalent atoms are K at (0.1703, 0.1577, 0.2500), Si at (0.0000, 0.2686, 0.7500) and Au at (0.0000, 0.5000, 0.0000).

---

[7]
## HgSbTe2 (GGA-PBE)

Data for a relaxed structure of HgSbTe2.

The calculation puts the density at 8.6 g/cm3. Its crystal system is cubic. As for the energy relative to the elements, uncorrected: 4.17 kcal/mol of atoms. The total magnetic moment is 0.00 μB/f.u. As for the energy above the most stable polymorph in this dataset: 25.1 kJ per mole of atoms.

The space group is Fm-3m (No. 225) and the conventional cell measures 7.6453, 7.6453 and 7.6453 Å, with angles of 90.00, 90.00 and 90.00 degrees. The inequivalent atoms are Hg at (0.0000, 0.0000, 0.0000), Sb at (0.0000, 0.0000, 0.5000) and Te at (0.2500, 0.2500, 0.2500).

---

[8]
## Sr4As2Br3 (GGA-PBE)

Data for a relaxed structure of Sr4As2Br3.

The calculation puts the density at 3.8 g/cm3. Its crystal system is monoclinic. As for the energy relative to the elements, uncorrected: -36.02 kcal/mol of atoms. The total magnetic moment is 0.82 μB/f.u.

The space group is C2/m (No. 12) and the conventional cell measures 7.7944, 4.4992 and 18.5193 Å, with angles of 90.00, 90.06 and 90.00 degrees. The inequivalent atoms are Sr at (0.0009, 0.0000, 0.3123), Sr at (0.1663, 0.5000, 0.8819), As at (0.1673, 0.5000, 0.2057), Br at (0.0000, 0.0000, 0.0000) and Br at (0.1655, 0.5000, 0.6008).

---

Look up the density of the seventh one. 8.6 g/cm3

---

Which value of density does entry 6 give? 3.9 g/cm3